# KSbMo3 PBE-GGA optimized geometry
data_KSbMo3
_cell_length_a 4.6322
_cell_length_b 4.6322
_cell_length_c 4.6322
_cell_angle_alpha 90.00
_cell_angle_beta 90.00
_cell_angle_gamma 90.00
_space_group_name_H-M_alt 'P m -3 m'
_space_group_IT_number 221
_space_group_name_Hall '-P 4 2 3'
loop_
_atom_site_label
_atom_site_type_symbol
_atom_site_fract_x
_atom_site_fract_y
_atom_site_fract_z
K1 K 0.0000 0.0000 0.0000
Sb1 Sb 0.5000 0.5000 0.5000
Mo1 Mo 0.0000 0.0000 0.5000
# - offset from the most stable computed form (meV per atom) = 922
# - uncorrected formation energy (eV per formula unit) = 14.7
# - E_tot (eV for the cell shown) = -22.986



# K2SbMo PBE-GGA optimized geometry
data_K2SbMo
_cell_length_a 5.5663
_cell_length_b 5.5663
_cell_length_c 7.8523
_cell_angle_alpha 90.00
_cell_angle_beta 90.00
_cell_angle_gamma 90.00
_space_group_name_H-M_alt 'I -4 m 2'
_space_group_IT_number 119
_space_group_name_Hall 'I -4 -2'
loop_
_atom_site_label
_atom_site_type_symbol
_atom_site_fract_x
_atom_site_fract_y
_atom_site_fract_z
K1 K 0.0000 0.0000 0.0000
K2 K 0.0000 0.5000 0.2500
Sb1 Sb 0.0000 0.5000 0.7500
Mo1 Mo 0.0000 0.0000 0.5000
# - uncorrected formation energy (eV per formula unit) = 2.7
# - E_tot (eV for the cell shown) = -28.949